[1]
First-principles (GGA-PBE) data for a geometry-optimized Sc2IBr structure, as listed in Alexandria.

ΔE_f (raw): -0.50 eV per atom
Relative energy among the computed polymorphs: 1.1 kJ per mole of atoms

a b c (Å): 3.6595 3.6595 29.1673
angles (deg): 90.00 90.00 120.00
Space group R-3m (No. 166, hexagonal axes)
Asymmetric unit:
Sc: 0.0000 0.0000 0.0880
I: 0.0000 0.0000 0.5000
Br: 0.0000 0.0000 0.0000



[2]
First-principles (GGA-PBE) data for a geometry-optimized Rb3Mn5N12 structure, as listed in Alexandria.

ΔE_f (raw): 0.43 eV per atom

a b c (Å): 12.850 12.850 12.850
angles (deg): 90.00 90.00 90.00
Space group Ia-3d (No. 230)
Asymmetric unit:
Rb: 0.000 0.250 0.125
Mn: 0.000 0.000 0.000
Mn: 0.000 0.250 0.375
N: 0.018 0.141 0.950